Arrangement one

The following is a PBE calculation of a geometry-optimized TlN structure, from Alexandria via LeMat-Bulk.

Symmetry: Pm-3m

```
TlN
1.0
3.176 0.000 0.000
0.000 3.176 0.000
0.000 0.000 3.176
Tl N
1 1
Direct
0.000 0.000 0.000
0.500 0.500 0.500
```



Arrangement two

The following is a PBE calculation of a geometry-optimized TlN structure, from Alexandria via LeMat-Bulk.

Symmetry: P4_2/mnm

```
TlN
1.0
-3.512 2.304 4.845
4.344 -2.177 4.184
1.828 3.235 -0.214
Tl N
4 4
Direct
0.313 0.313 0.000
0.813 0.187 0.500
0.187 0.813 0.500
0.687 0.687 0.000
0.326 0.674 0.000
0.826 0.826 0.500
0.174 0.174 0.500
0.674 0.326 0.000
```



Name the least stable of them. arrangement one.



Arrangement one

The following is a PBE calculation of a geometry-optimized TlN4 structure, from Alexandria via LeMat-Bulk.

Symmetry: Pm-3m

```
TlN4
1.0
4.709 0.000 0.000
0.000 4.709 0.000
0.000 0.000 4.709
Tl N
1 4
Direct
0.500 0.500 0.500
0.000 0.000 0.000
0.500 0.000 0.500
0.000 0.500 0.500
0.500 0.500 0.000
```



Arrangement two

The following is a PBE calculation of a geometry-optimized TlN4 structure, from Alexandria via LeMat-Bulk.

Symmetry: I4/m

```
TlN4
1.0
-1.881 6.502 0.101
-4.904 2.144 -2.482
-3.356 2.489 4.165
Tl N
1 4
Direct
0.000 0.000 0.000
0.047 0.385 0.521
0.568 0.479 0.385
0.953 0.615 0.479
0.432 0.521 0.615
```



Name the least stable of them. arrangement one.